This record from the Alexandria database describes crystalline CaPu2Ru at its relaxed geometry. The functional is GGA-PBE.

Lattice parameters (Å, degrees): 4.7527 4.7527 5.7711 65.68 65.68 60.00
Element x y z (fractional)
1 Ru 0.0000 0.0000 0.0000
2 Ca 0.5000 0.5000 0.5000
3 Pu 0.2753 0.2753 0.1742
4 Pu 0.7247 0.7247 0.8258

=====

This record from the Alexandria database describes crystalline BeFe2N at its relaxed geometry. The functional is GGA-PBE.

Summary:
raw formation energy: 270 kJ/mol of formula units

Lattice parameters (Å, degrees): 3.6040 3.6040 3.6040 60.00 60.00 60.00
Element x y z (fractional)
1 Be 0.0000 0.0000 0.0000
2 Fe 0.2500 0.2500 0.2500
3 Fe 0.7500 0.7500 0.7500
4 N 0.5000 0.5000 0.5000

=====

This record from the Alexandria database describes crystalline Nd3Be2SbPd9 at its relaxed geometry. The functional is GGA-PBE.

Summary:
raw formation energy: -940 kJ/mol of formula units

Lattice parameters (Å, degrees): 5.9822 5.9822 9.2752 90.00 90.00 120.00
Element x y z (fractional)
1 Nd 0.3333 0.6667 0.6603
2 Nd 0.0000 0.0000 0.0000
3 Nd 0.6667 0.3333 0.3397
4 Be 0.3333 0.6667 0.1435
5 Be 0.6667 0.3333 0.8565
6 Sb 0.0000 0.0000 0.5000
7 Pd 0.8359 0.1641 0.7212
8 Pd 0.8359 0.6718 0.7212
9 Pd 0.3282 0.1641 0.7212
10 Pd 0.6718 0.8359 0.2788
11 Pd 0.1641 0.3282 0.2788
12 Pd 0.1641 0.8359 0.2788
13 Pd 0.5000 0.0000 0.0000
14 Pd 0.0000 0.5000 0.0000
15 Pd 0.5000 0.5000 0.0000

=====

This record from the Alexandria database describes crystalline Sr4Pt at its relaxed geometry. The functional is GGA-PBE.

Lattice parameters (Å, degrees): 6.4748 6.4748 6.4748 109.47 109.47 109.47
Element x y z (fractional)
1 Sr 0.5000 0.0000 0.0000
2 Sr 0.5000 0.5000 0.5000
3 Sr 0.0000 0.5000 0.0000
4 Sr 0.0000 0.0000 0.5000
5 Pt 0.0000 0.0000 0.0000

=====

This record from the Alexandria database describes crystalline HfMgTe3 at its relaxed geometry. The functional is GGA-PBE.

Summary:
raw formation energy: 219 kJ/mol of formula units

Lattice parameters (Å, degrees): 5.3078 5.3078 5.3078 90.00 90.00 90.00
Element x y z (fractional)
1 Mg 0.0000 0.0000 0.0000
2 Te 0.0000 0.5000 0.0000
3 Te 0.0000 0.0000 0.5000
4 Te 0.5000 0.0000 0.0000
5 Hf 0.5000 0.5000 0.5000

=====

This record from the Alexandria database describes crystalline ThNb3S6 at its relaxed geometry. The functional is GGA-PBE.

Summary:
raw formation energy: -1159 kJ/mol of formula units

Lattice parameters (Å, degrees): 3.6077 10.4376 10.7028 109.59 90.00 90.00
Element x y z (fractional)
1 Th 0.7500 0.0578 0.7078
2 Th 0.2500 0.9422 0.2922
3 Nb 0.7500 0.4617 0.8798
4 Nb 0.2500 0.5383 0.1202
5 Nb 0.7500 0.6772 0.5088
6 Nb 0.2500 0.3228 0.4912
7 Nb 0.7500 0.1196 0.0687
8 Nb 0.2500 0.8804 0.9313
9 S 0.7500 0.4869 0.6206
10 S 0.2500 0.5131 0.3794
11 S 0.7500 0.8907 0.0893
12 S 0.2500 0.1093 0.9107
13 S 0.7500 0.3690 0.0663
14 S 0.2500 0.6310 0.9337
15 S 0.7500 0.7089 0.2718
16 S 0.2500 0.2911 0.7282
17 S 0.7500 0.1350 0.4702
18 S 0.2500 0.8650 0.5298
19 S 0.7500 0.8047 0.7534
20 S 0.2500 0.1953 0.2466

=====

| no. | energy (eV/atom) |
| --- | --- |
| 1 | -9.742 |
| 2 | -6.544 |
| 3 | -5.490 |
| 4 | -2.780 |
| 5 | -3.740 |
| 6 | -7.440 |